1.
## V2TcRh5 (PBE-GGA)

Data for a relaxed V2TcRh5 crystal.

total magnetization	0.000	μB/atom
calculated volume	222.6	Å³/cell
E	-8.4990	eV/atom
ΔE_f	-0.329	eV/atom

abc: 5.396 10.799 3.820
angles: 90.00 90.00 90.00
Space group Pbam (No. 55)
Symmetry-distinct sites (fractional):
V1 0.248 0.124 0.000 [4 per cell]
Tc1 0.000 0.000 0.500 [2 per cell]
Rh1 0.000 0.500 0.500 [2 per cell]
Rh2 0.004 0.248 0.500 [4 per cell]
Rh3 0.246 0.877 0.000 [4 per cell]


2.
## LaNd3Ho5 (PBE-GGA)

Data for a relaxed LaNd3Ho5 crystal.

total magnetization	0.000	μB/atom
calculated volume	1196.9	Å³/cell
E	-4.4400	eV/atom
E above lowest polymorph	0.000	eV per atom
ΔE_f	0.240	eV/atom

abc: 8.739 8.739 15.674
angles: 90.00 90.00 90.00
Space group I4/mcm (No. 140)
Symmetry-distinct sites (fractional):
La1 0.000 0.500 0.250 [4 per cell]
Nd1 0.000 0.000 0.250 [4 per cell]
Nd2 0.118 0.382 0.000 [8 per cell]
Ho1 0.000 0.000 0.000 [4 per cell]
Ho2 0.208 0.292 0.364 [16 per cell]


3.
## CaSm2Au (PBE-GGA)

Data for a relaxed CaSm2Au crystal.

total magnetization	0.000	μB/atom
calculated volume	405.9	Å³/cell
E	-3.9219	eV/atom
E above lowest polymorph	0.128	eV per atom
ΔE_f	-0.243	eV/atom

abc: 3.9044 3.9044 30.7470
angles: 90.00 90.00 120.00
Space group R-3m (No. 166, hexagonal axes)
Symmetry-distinct sites (fractional):
Ca1 0.0000 0.0000 0.0000 [3 per cell]
Sm1 0.0000 0.0000 0.2307 [6 per cell]
Au1 0.0000 0.0000 0.5000 [3 per cell]


4.
## Rb3Ta2CdO8 (PBE-GGA)

Data for a relaxed Rb3Ta2CdO8 crystal.

total magnetization	0.081	μB/atom
calculated volume	274.0	Å³/cell
E	-6.8729	eV/atom

abc: 6.2589 6.2589 8.0773
angles: 90.00 90.00 120.00
Space group P-3m1 (No. 164)
Symmetry-distinct sites (fractional):
Rb1 0.0000 0.0000 0.0000 [1 per cell]
Rb2 0.3333 0.6667 0.6736 [2 per cell]
Ta1 0.3333 0.6667 0.2413 [2 per cell]
Cd1 0.0000 0.0000 0.5000 [1 per cell]
O1 0.1716 0.3431 0.3222 [6 per cell]
O2 0.3333 0.6667 0.0106 [2 per cell]


5.
## YTlNiAs2 (PBE-GGA)

Data for a relaxed YTlNiAs2 crystal.

total magnetization	0.000	μB/atom
calculated volume	169.7	Å³/cell
E	-3.8742	eV/atom
ΔE_f	0.908	eV/atom

abc: 5.372 5.372 5.882
angles: 90.00 90.00 90.00
Space group P4/mmm (No. 123)
Symmetry-distinct sites (fractional):
Y1 0.000 0.000 0.000 [1 per cell]
Tl1 0.000 0.000 0.500 [1 per cell]
Ni1 0.500 0.500 0.500 [1 per cell]
As1 0.000 0.500 0.000 [2 per cell]


6.
## Ba3SrB2O6 (PBE-GGA)

Data for a relaxed Ba3SrB2O6 crystal.

total magnetization	0.021	μB/atom
calculated volume	228.2	Å³/cell
E	-6.6951	eV/atom

abc: 5.6383 5.6383 8.2871
angles: 90.00 90.00 120.00
Space group P-3m1 (No. 164)
Symmetry-distinct sites (fractional):
Ba1 0.0000 0.0000 0.0000 [1 per cell]
Ba2 0.3333 0.6667 0.7264 [2 per cell]
Sr1 0.0000 0.0000 0.5000 [1 per cell]
B1 0.3333 0.6667 0.2940 [2 per cell]
O1 0.1901 0.3801 0.2994 [6 per cell]


7.
## CsGaAs3 (PBE-GGA)

Data for a relaxed CsGaAs3 crystal.

total magnetization	0.000	μB/atom
calculated volume	139.6	Å³/cell
E	-3.2667	eV/atom
E above lowest polymorph	0.000	eV per atom
ΔE_f	0.299	eV/atom

abc: 5.188 5.188 5.188
angles: 90.00 90.00 90.00
Space group Pm-3m (No. 221)
Symmetry-distinct sites (fractional):
Cs1 0.000 0.000 0.000 [1 per cell]
Ga1 0.500 0.500 0.500 [1 per cell]
As1 0.000 0.500 0.500 [3 per cell]


8.
## Sm5Te4Pd (PBE-GGA)

Data for a relaxed Sm5Te4Pd crystal.

total magnetization	0.000	μB/atom
calculated volume	603.0	Å³/cell
E	-5.3695	eV/atom

abc: 4.383 4.383 31.382
angles: 90.00 90.00 90.00
Space group I4/mmm (No. 139)
Symmetry-distinct sites (fractional):
Sm1 0.000 0.000 0.000 [2 per cell]
Sm2 0.000 0.000 0.208 [4 per cell]
Sm3 0.000 0.000 0.411 [4 per cell]
Te1 0.000 0.000 0.104 [4 per cell]
Te2 0.000 0.000 0.308 [4 per cell]
Pd1 0.000 0.000 0.500 [2 per cell]